First-principles (PBE-GGA) data for As3PtPb after structural relaxation, as listed in Alexandria via LeMat-Bulk.

## Properties
SG: No. 221
V: 25.0 Å³ per atom
energy of formation: 408 meV/atom
excess energy over the best structure of this formula in the dataset: 0.0 kJ/mol of formula units

Unit cell a=5.0032 b=5.0032 c=5.0032 alpha=90.00 beta=90.00 gamma=90.00
Last column: nearest neighbours and their distance in Å.
Fractional coordinates of all 5 atoms:
1 Pt 0.0000 0.0000 0.0000  6 As 2.50
2 As 0.0000 0.5000 0.0000  2 Pt 2.50
3 As 0.5000 0.0000 0.0000  2 Pt 2.50
4 Pb 0.5000 0.5000 0.5000  12 As 3.54
5 As 0.0000 0.0000 0.5000  2 Pt 2.50

First-principles (PBE-GGA) data for AsPt2Pb2 after structural relaxation, as listed in Alexandria via LeMat-Bulk.

## Properties
SG: No. 127
V: 22.0 Å³ per atom
energy of formation: -23 meV/atom
excess energy over the best structure of this formula in the dataset: 0.0 kJ/mol of formula units

Unit cell a=7.0664 b=7.0664 c=4.3996 alpha=90.00 beta=90.00 gamma=90.00
Last column: nearest neighbours and their distance in Å.
Fractional coordinates of all 10 atoms:
1 As 0.0000 0.0000 0.0000  4 Pt 2.72
2 Pt 0.8574 0.6426 0.0000  2 As 2.72, 1 Pt 2.85, 2 Pb 2.91
3 Pb 0.3329 0.1671 0.5000  6 Pt 2.91-3.11
4 Pt 0.1426 0.3574 0.0000  2 As 2.72, 1 Pt 2.85, 2 Pb 2.91
5 Pb 0.8329 0.3329 0.5000  6 Pt 2.91-3.11
6 Pt 0.6426 0.1426 0.0000  2 As 2.72, 1 Pt 2.85, 2 Pb 2.91
7 Pt 0.3574 0.8574 0.0000  2 As 2.72, 1 Pt 2.85, 2 Pb 2.91
8 As 0.5000 0.5000 0.0000  4 Pt 2.72
9 Pb 0.6671 0.8329 0.5000  6 Pt 2.91-3.11
10 Pb 0.1671 0.6671 0.5000  6 Pt 2.91-3.11

First-principles (PBE-GGA) data for AsPt2Pb2 after structural relaxation, as listed in Alexandria via LeMat-Bulk.

## Properties
SG: No. 139
V: 23.2 Å³ per atom
energy of formation: 61 meV/atom
excess energy over the best structure of this formula in the dataset: 40.5 kJ/mol of formula units

Unit cell a=3.8051 b=3.8051 c=8.4596 alpha=77.00 beta=77.00 gamma=90.00
Last column: nearest neighbours and their distance in Å.
Fractional coordinates of all 5 atoms:
1 Pb 0.3908 0.3908 0.2183  4 Pt 2.95, 4 As 3.21
2 Pt 0.7500 0.2500 0.5000  4 Pt 2.69, 4 Pb 2.95
3 Pt 0.2500 0.7500 0.5000  4 Pt 2.69, 4 Pb 2.95
4 Pb 0.6092 0.6092 0.7817  4 Pt 2.95, 4 As 3.21
5 As 0.0000 0.0000 0.0000  8 Pb 3.21

First-principles (PBE-GGA) data for AsPt2Pb2 after structural relaxation, as listed in Alexandria via LeMat-Bulk.

## Properties
SG: No. 127
V: 22.2 Å³ per atom
energy of formation: 257 meV/atom
excess energy over the best structure of this formula in the dataset: 135.1 kJ/mol of formula units

Unit cell a=8.1652 b=8.1652 c=3.3329 alpha=90.00 beta=90.00 gamma=90.00
Last column: nearest neighbours and their distance in Å.
Fractional coordinates of all 10 atoms:
1 Pb 0.1729 0.3271 0.0000  6 Pt 2.90-2.95, 2 As 3.02
2 Pt 0.1214 0.6214 0.5000  1 Pt 2.80, 6 Pb 2.90-2.95
3 Pb 0.8271 0.6729 0.0000  6 Pt 2.90-2.95, 2 As 3.02
4 Pt 0.8786 0.3786 0.5000  1 Pt 2.80, 6 Pb 2.90-2.95
5 As 0.5000 0.5000 0.0000  4 Pb 3.02, 2 As 3.33
6 Pt 0.3786 0.1214 0.5000  1 Pt 2.80, 6 Pb 2.90-2.95
7 As 0.0000 0.0000 0.0000  4 Pb 3.02, 2 As 3.33
8 Pb 0.3271 0.8271 0.0000  6 Pt 2.90-2.95, 2 As 3.02
9 Pb 0.6729 0.1729 0.0000  6 Pt 2.90-2.95, 2 As 3.02
10 Pt 0.6214 0.8786 0.5000  1 Pt 2.80, 6 Pb 2.90-2.95

First-principles (PBE-GGA) data for As2Pt3Pb2 after structural relaxation, as listed in Alexandria via LeMat-Bulk.

## Properties
SG: No. 14
V: 22.1 Å³ per atom
energy of formation: -272 meV/atom

Unit cell a=7.2316 b=6.8518 c=6.6745 alpha=69.48 beta=90.00 gamma=90.00
Last column: nearest neighbours and their distance in Å.
Fractional coordinates of all 14 atoms:
1 Pt 0.5312 0.7056 0.3275  3 As 2.47-2.55
2 Pt 0.4688 0.2944 0.6725  3 As 2.47-2.55
3 As 0.3393 0.6476 0.6526  4 Pt 2.47-2.55
4 Pb 0.8407 0.4061 0.8362  4 Pt 2.85-3.10
5 Pt 0.9688 0.2056 0.3275  3 As 2.47-2.55
6 As 0.1607 0.1476 0.6526  4 Pt 2.47-2.55
7 Pt 0.0312 0.7944 0.6725  3 As 2.47-2.55
8 Pb 0.6593 0.9061 0.8362  4 Pt 2.85-3.10
9 As 0.6607 0.3524 0.3474  4 Pt 2.47-2.55
10 Pt 0.5000 0.5000 0.0000  2 As 2.47
11 Pt 0.0000 0.0000 0.0000  2 As 2.47
12 Pb 0.3407 0.0939 0.1638  4 Pt 2.85-3.10
13 As 0.8393 0.8524 0.3474  4 Pt 2.47-2.55
14 Pb 0.1593 0.5939 0.1638  4 Pt 2.85-3.10

First-principles (PBE-GGA) data for AsPtPbSe2 after structural relaxation, as listed in Alexandria via LeMat-Bulk.

## Properties
SG: No. 123
V: 31.0 Å³ per atom
energy relative to the elements, uncorrected: 6.80 eV per formula unit
excess energy over the best structure of this formula in the dataset: 588.1 kJ/mol of formula units

Unit cell a=5.3567 b=5.3567 c=5.3932 alpha=90.00 beta=90.00 gamma=90.00
Last column: nearest neighbours and their distance in Å.
Fractional coordinates of all 5 atoms:
1 Pt 0.5000 0.5000 0.5000  4 As 3.79, 8 Se 3.80
2 Se 0.5000 0.0000 0.0000  2 Pb 2.68
3 As 0.0000 0.0000 0.5000  2 Pb 2.70
4 Se 0.0000 0.5000 0.0000  2 Pb 2.68
5 Pb 0.0000 0.0000 0.0000  4 Se 2.68, 2 As 2.70

First-principles (PBE-GGA) data for As2PtPbSe after structural relaxation, as listed in Alexandria via LeMat-Bulk.

## Properties
SG: No. 123
V: 25.5 Å³ per atom
energy relative to the elements, uncorrected: 1.32 eV per formula unit
excess energy over the best structure of this formula in the dataset: 0.0 kJ/mol of formula units

Unit cell a=4.8565 b=4.8565 c=5.4027 alpha=90.00 beta=90.00 gamma=90.00
Last column: nearest neighbours and their distance in Å.
Fractional coordinates of all 5 atoms:
1 As 0.5000 0.0000 0.0000  2 Pt 2.43
2 Pt 0.0000 0.0000 0.0000  4 As 2.43, 2 Se 2.70
3 Se 0.0000 0.0000 0.5000  2 Pt 2.70
4 As 0.0000 0.5000 0.0000  2 Pt 2.43
5 Pb 0.5000 0.5000 0.5000  4 Se 3.43, 8 As 3.63

First-principles (PBE-GGA) data for AsPtPbSe2 after structural relaxation, as listed in Alexandria via LeMat-Bulk.

## Properties
SG: No. 123
V: 27.5 Å³ per atom
energy relative to the elements, uncorrected: 0.71 eV per formula unit
excess energy over the best structure of this formula in the dataset: 0.0 kJ/mol of formula units

Unit cell a=5.4205 b=5.4205 c=4.6764 alpha=90.00 beta=90.00 gamma=90.00
Last column: nearest neighbours and their distance in Å.
Fractional coordinates of all 5 atoms:
1 Se 0.5000 0.0000 0.0000  2 Pt 2.71
2 Se 0.0000 0.5000 0.0000  2 Pt 2.71
3 Pb 0.5000 0.5000 0.5000  8 Se 3.58, 4 As 3.83
4 Pt 0.0000 0.0000 0.0000  2 As 2.34
5 As 0.0000 0.0000 0.5000  2 Pt 2.34

First-principles (PBE-GGA) data for SmAs2Pt7Pb2 after structural relaxation, as listed in Alexandria via LeMat-Bulk.

## Properties
SG: No. 12
V: 21.2 Å³ per atom
energy of formation: -521 meV/atom

Unit cell a=4.0308 b=4.0308 c=15.9176 alpha=82.70 beta=82.70 gamma=90.00
Last column: nearest neighbours and their distance in Å.
Fractional coordinates of all 12 atoms:
1 Pb 0.2118 0.2118 0.5756  5 Pt 2.89-2.90
2 Pt 0.5000 0.5000 0.0000  4 Sm 2.85, 8 Pt 2.99
3 Pt 0.0710 0.5714 0.8587  2 As 2.49-2.50
4 Pb 0.7882 0.7882 0.4244  5 Pt 2.89-2.90
5 Pt 0.5714 0.0710 0.8587  2 As 2.49-2.50
6 As 0.3824 0.3824 0.2351  5 Pt 2.43-2.50
7 Sm 0.0000 0.0000 0.0000  12 Pt 2.85-2.99
8 As 0.6176 0.6176 0.7649  5 Pt 2.43-2.50
9 Pt 0.3061 0.3061 0.3905  1 As 2.43
10 Pt 0.6939 0.6939 0.6095  1 As 2.43
11 Pt 0.9290 0.4286 0.1413  2 As 2.49-2.50
12 Pt 0.4286 0.9290 0.1413  2 As 2.49-2.50

First-principles (PBE-GGA) data for Sr2As3Pt4Pb after structural relaxation, as listed in Alexandria via LeMat-Bulk.

## Properties
SG: No. 115
V: 21.7 Å³ per atom
energy of formation: -674 meV/atom

Unit cell a=4.4838 b=4.4838 c=10.7917 alpha=90.00 beta=90.00 gamma=90.00
Last column: nearest neighbours and their distance in Å.
Fractional coordinates of all 10 atoms:
1 Pb 0.5000 0.5000 0.5000  4 Pt 2.77
2 Pt 0.0000 0.5000 0.3487  1 As 2.45
3 As 0.5000 0.0000 0.8786  5 Pt 2.45-2.60
4 Pt 0.5000 0.0000 0.6513  1 As 2.45
5 Pt 0.5000 0.5000 0.0000  4 As 2.60
6 Sr 0.5000 0.0000 0.2364  8 Pt 3.39-3.40, 6 As 3.40-3.62, 2 Pb 3.62
7 Pt 0.0000 0.0000 0.0000  4 As 2.60
8 As 0.0000 0.5000 0.1214  5 Pt 2.45-2.60
9 As 0.0000 0.0000 0.5000  4 Pt 2.77
10 Sr 0.0000 0.5000 0.7636  8 Pt 3.39-3.40, 6 As 3.40-3.62, 2 Pb 3.62

First-principles (PBE-GGA) data for TcAsPt2Pb after structural relaxation, as listed in Alexandria via LeMat-Bulk.

## Properties
SG: No. 123
V: 24.3 Å³ per atom
energy of formation: 1065 meV/atom

Unit cell a=4.8144 b=5.2456 c=4.8144 alpha=90.00 beta=90.00 gamma=90.00
Last column: nearest neighbours and their distance in Å.
Fractional coordinates of all 5 atoms:
1 Pt 0.0000 0.0000 0.5000  2 Tc 2.41
2 Pt 0.5000 0.0000 0.0000  2 Tc 2.41
3 Tc 0.0000 0.0000 0.0000  4 Pt 2.41, 2 Pb 2.62
4 Pb 0.0000 0.5000 0.0000  2 Tc 2.62
5 As 0.5000 0.5000 0.5000  4 Pb 3.40, 8 Pt 3.56

First-principles (PBE-GGA) data for TiAsPtPb2 after structural relaxation, as listed in Alexandria via LeMat-Bulk.

## Properties
SG: No. 123
V: 27.6 Å³ per atom
energy of formation: 601 meV/atom

Unit cell a=5.4161 b=4.6965 c=5.4161 alpha=90.00 beta=90.00 gamma=90.00
Last column: nearest neighbours and their distance in Å.
Fractional coordinates of all 5 atoms:
1 Pt 0.0000 0.5000 0.0000  2 Ti 2.35
2 As 0.5000 0.5000 0.5000  8 Pb 3.58, 4 Pt 3.83
3 Pb 0.5000 0.0000 0.0000  2 Ti 2.71
4 Pb 0.0000 0.0000 0.5000  2 Ti 2.71
5 Ti 0.0000 0.0000 0.0000  2 Pt 2.35

Repeat the twelfth record exactly.
First-principles (PBE-GGA) data for TiAsPtPb2 after structural relaxation, as listed in Alexandria via LeMat-Bulk.

## Properties
SG: No. 123
V: 27.6 Å³ per atom
energy of formation: 601 meV/atom

Unit cell a=5.4161 b=4.6965 c=5.4161 alpha=90.00 beta=90.00 gamma=90.00
Last column: nearest neighbours and their distance in Å.
Fractional coordinates of all 5 atoms:
1 Pt 0.0000 0.5000 0.0000  2 Ti 2.35
2 As 0.5000 0.5000 0.5000  8 Pb 3.58, 4 Pt 3.83
3 Pb 0.5000 0.0000 0.0000  2 Ti 2.71
4 Pb 0.0000 0.0000 0.5000  2 Ti 2.71
5 Ti 0.0000 0.0000 0.0000  2 Pt 2.35

Question: Which value of V does entry 5 give?
Answer: 22.1 Å³ per atom

Question: Number 1 is which compound?
Answer: As3PtPb